Record 1
Entry from Alexandria via LeMat-Bulk: La3Er5In2 after structural relaxation (GGA-PBE).

The structure in POSCAR format:
```
La3Er5In2
1.0
-6.5126 7.8042 3.2381
6.5126 -7.8042 3.2381
6.5126 7.8042 -3.2381
La Er In
6 10 4
Direct
0.2390 0.1213 0.3603 La
0.2500 0.2500 0.0000 La
0.2610 0.6213 0.8823 La
0.7390 0.3787 0.1177 La
0.7500 0.7500 0.0000 La
0.7610 0.8787 0.6397 La
0.1623 0.3843 0.5466 Er
0.2500 0.5051 0.2551 Er
0.2500 0.7500 0.5000 Er
0.2500 0.9949 0.7449 Er
0.3377 0.8843 0.2220 Er
0.6623 0.1157 0.7780 Er
0.7500 0.0051 0.2551 Er
0.7500 0.2500 0.5000 Er
0.7500 0.4949 0.7449 Er
0.8377 0.6157 0.4534 Er
0.1473 0.8589 0.0061 In
0.3527 0.3589 0.7116 In
0.6473 0.6411 0.2884 In
0.8527 0.1411 0.9939 In
```

Computed properties:
The density is 7480 kg/m³. The calculation puts the energy at -4.293 eV/atom.

Record 2
Entry from Alexandria via LeMat-Bulk: LaEr2In after structural relaxation (GGA-PBE).

The structure in POSCAR format:
```
LaEr2In
1.0
3.4785 0.0000 0.0000
-1.7393 3.0125 0.0000
0.0000 0.0000 35.5332
La Er In
3 6 3
Direct
0.0000 0.0000 0.0000 La
0.3333 0.6667 0.6667 La
0.6667 0.3333 0.3333 La
0.0000 0.0000 0.0962 Er
0.0000 0.0000 0.9038 Er
0.3333 0.6667 0.5704 Er
0.3333 0.6667 0.7629 Er
0.6667 0.3333 0.2371 Er
0.6667 0.3333 0.4296 Er
0.0000 0.0000 0.5000 In
0.3333 0.6667 0.1667 In
0.6667 0.3333 0.8333 In
```

Computed properties:
The density is 7870 kg/m³. The calculation puts the energy at -4.175 eV/atom.

Record 3
Entry from Alexandria via LeMat-Bulk: La4Er3In4 after structural relaxation (GGA-PBE).

The structure in POSCAR format:
```
La4Er3In4
1.0
-1.7904 4.7555 9.9498
1.7904 -4.7555 9.9498
1.7904 4.7555 -9.9498
La Er In
4 3 4
Direct
0.0052 0.8388 0.1665 La
0.3277 0.1612 0.1665 La
0.6723 0.8388 0.8335 La
0.9948 0.1612 0.8335 La
0.0000 0.5000 0.5000 Er
0.4097 0.4097 0.0000 Er
0.5903 0.5903 0.0000 Er
0.2802 0.0000 0.2802 In
0.2811 0.7811 0.5000 In
0.7189 0.2189 0.5000 In
0.7198 0.0000 0.7198 In
```

Computed properties:
The density is 7432 kg/m³. The calculation puts the energy at -4.362 eV/atom.

Record 4
Entry from Alexandria via LeMat-Bulk: LaEr2In after structural relaxation (GGA-PBE).

The structure in POSCAR format:
```
LaEr2In
1.0
4.9337 0.0000 0.0000
0.0000 4.9337 0.0000
0.0000 0.0000 4.8478
La Er In
1 2 1
Direct
0.0000 0.0000 0.0000 La
0.0000 0.5000 0.5000 Er
0.5000 0.0000 0.5000 Er
0.5000 0.5000 0.0000 In
```

Computed properties:
The density is 8278 kg/m³. The calculation puts the energy at -4.445 eV/atom.

Record 5
Entry from Alexandria via LeMat-Bulk: La5ErIn3 after structural relaxation (GGA-PBE).

The structure in POSCAR format:
```
La5ErIn3
1.0
9.6840 0.0000 0.0000
-4.8420 8.3866 0.0000
0.0000 0.0000 7.0314
La Er In
10 2 6
Direct
0.0000 0.3413 0.2500 La
0.0000 0.6587 0.7500 La
0.3333 0.6667 0.0000 La
0.3333 0.6667 0.5000 La
0.3413 0.0000 0.2500 La
0.3413 0.3413 0.7500 La
0.6587 0.0000 0.7500 La
0.6587 0.6587 0.2500 La
0.6667 0.3333 0.0000 La
0.6667 0.3333 0.5000 La
0.0000 0.0000 0.0000 Er
0.0000 0.0000 0.5000 Er
0.0000 0.3195 0.7500 In
0.0000 0.6805 0.2500 In
0.3195 0.0000 0.7500 In
0.3195 0.3195 0.2500 In
0.6805 0.0000 0.2500 In
0.6805 0.6805 0.7500 In
```

Computed properties:
The density is 7015 kg/m³. The calculation puts the energy at -4.514 eV/atom.

Record 6
Entry from Alexandria via LeMat-Bulk: La4ErIn2 after structural relaxation (GGA-PBE).

The structure in POSCAR format:
```
La4ErIn2
1.0
7.0020 0.0000 0.0000
0.0000 10.2438 0.0000
-3.4864 0.0000 6.4703
La Er In
8 2 4
Direct
0.0000 0.2493 0.0000 La
0.0000 0.7507 0.0000 La
0.2500 0.2500 0.5000 La
0.2500 0.7500 0.5000 La
0.5000 0.2507 0.0000 La
0.5000 0.7493 0.0000 La
0.7500 0.2500 0.5000 La
0.7500 0.7500 0.5000 La
0.0000 0.0000 0.5000 Er
0.5000 0.5000 0.5000 Er
0.1211 0.5000 0.7427 In
0.3789 0.0000 0.2573 In
0.6211 0.0000 0.7427 In
0.8789 0.5000 0.2573 In
```

Computed properties:
The density is 6816 kg/m³. The calculation puts the energy at -4.257 eV/atom.

Record 7
Entry from Alexandria via LeMat-Bulk: La3Er4In2 after structural relaxation (GGA-PBE).

The structure in POSCAR format:
```
La3Er4In2
1.0
6.5825 -6.7711 0.0000
6.5825 6.7711 0.0000
-0.5367 0.0000 6.4484
La Er In
6 8 4
Direct
0.0372 0.9628 0.7500 La
0.3198 0.4662 0.4120 La
0.4662 0.3198 0.9120 La
0.5338 0.6802 0.0880 La
0.6802 0.5338 0.5880 La
0.9628 0.0372 0.2500 La
0.0192 0.6754 0.4079 Er
0.1702 0.6090 0.9146 Er
0.3246 0.9808 0.0921 Er
0.3910 0.8298 0.5854 Er
0.6090 0.1702 0.4146 Er
0.6754 0.0192 0.9079 Er
0.8298 0.3910 0.0854 Er
0.9808 0.3246 0.5921 Er
0.1383 0.2801 0.0339 In
0.2801 0.1383 0.5339 In
0.7199 0.8617 0.4661 In
0.8617 0.7199 0.9661 In
```

Computed properties:
The density is 7600 kg/m³. The calculation puts the energy at -4.385 eV/atom.

Record 8
Entry from Alexandria via LeMat-Bulk: La2Er2In after structural relaxation (GGA-PBE).

The structure in POSCAR format:
```
La2Er2In
1.0
11.2661 0.0000 0.0000
0.0000 4.8204 0.0000
-5.5154 0.0000 5.6573
La Er In
4 4 2
Direct
0.1142 0.0000 0.3100 La
0.3858 0.5000 0.6900 La
0.6142 0.5000 0.3100 La
0.8858 0.0000 0.6900 La
0.2043 0.5000 0.0926 Er
0.2957 0.0000 0.9074 Er
0.7043 0.0000 0.0926 Er
0.7957 0.5000 0.9074 Er
0.0000 0.5000 0.5000 In
0.5000 0.0000 0.5000 In
```

Computed properties:
The density is 7860 kg/m³. The calculation puts the energy at -4.519 eV/atom.